[1]
# Li2MnOF3

A relaxed Li2MnOF3 crystal (PBEsol, the Alexandria database).

Geometry as POSCAR:
```
Li2MnOF3
1.0
2.9961 0.0000 0.0000
-1.1976 4.8664 0.0000
-0.5825 -2.0793 9.7934
Li Mn O F
4 2 2 6
direct
0.0000 0.0000 0.0000 Li
0.0000 0.0000 0.5000 Li
0.2128 0.4540 0.3873 Li
0.7872 0.5460 0.6127 Li
0.2566 0.4828 0.8734 Mn
0.7434 0.5172 0.1266 Mn
0.3900 0.7230 0.0491 O
0.6100 0.2770 0.9509 O
0.0799 0.2670 0.1807 F
0.1835 0.2990 0.6924 F
0.3640 0.7446 0.5490 F
0.6360 0.2554 0.4510 F
0.8165 0.7010 0.3076 F
0.9201 0.7330 0.8193 F
```

The value obtained for the uncorrected formation energy is -2455 meV per atom. As for the spin magnetization: 8.0 Bohr magnetons per cell. As for the theoretical density: 3.3 g/cm3. As for the relative energy among the computed polymorphs: 0.298 eV per formula unit.

---

[2]
# HgRhCl2

A relaxed HgRhCl2 crystal (PBEsol, the Alexandria database).

Geometry as POSCAR:
```
HgRhCl2
1.0
4.6880 0.0000 0.0000
0.0000 4.6880 0.0000
0.0000 0.0000 3.3312
Hg Rh Cl
1 1 2
direct
0.0000 0.0000 0.0000 Hg
0.5000 0.5000 0.0000 Rh
0.0000 0.5000 0.5000 Cl
0.5000 0.0000 0.5000 Cl
```

The value obtained for the uncorrected formation energy is 455 meV per atom. As for the spin magnetization: 1.7 Bohr magnetons per cell. As for the theoretical density: 8.5 g/cm3. As for the relative energy among the computed polymorphs: 1.459 eV per formula unit.

---

[3]
# Sc2ZnP

A relaxed Sc2ZnP crystal (PBEsol, the Alexandria database).

Geometry as POSCAR:
```
Sc2ZnP
1.0
3.6882 0.0000 0.0000
0.0000 1.9059 4.9500
0.0000 -1.9059 4.9500
Sc Zn P
2 1 1
direct
0.0000 0.0000 0.0000 Sc
0.5000 0.2863 0.2863 Sc
0.5000 0.5638 0.5638 Zn
0.0000 0.7267 0.7267 P
```

As for the spin magnetization: 0.0 Bohr magnetons per cell. As for the theoretical density: 4.4 g/cm3. The formation enthalpy at 0 K is -903 meV per atom. As for the relative energy among the computed polymorphs: 0.000 eV per formula unit.

---

[4]
# ZrMn2Cr

A relaxed ZrMn2Cr crystal (PBEsol, the Alexandria database).

Geometry as POSCAR:
```
ZrMn2Cr
1.0
4.1994 0.0000 0.0000
0.0000 4.1994 0.0000
0.0000 0.0000 2.9860
Zr Mn Cr
1 2 1
direct
0.0000 0.0000 0.0000 Zr
0.0000 0.5000 0.5000 Mn
0.5000 0.0000 0.5000 Mn
0.5000 0.5000 0.0000 Cr
```

As for the spin magnetization: 0.0 Bohr magnetons per cell. As for the theoretical density: 8.0 g/cm3. The formation enthalpy at 0 K is 161 meV per atom. As for the relative energy among the computed polymorphs: 0.302 eV per formula unit.

---

[5]
# NiAg2Os

A relaxed NiAg2Os crystal (PBEsol, the Alexandria database).

Geometry as POSCAR:
```
NiAg2Os
1.0
-1.8750 1.8750 4.1094
1.8750 -1.8750 4.1094
1.8750 1.8750 -4.1094
Ni Ag Os
1 2 1
direct
0.0000 0.0000 0.0000 Ni
0.2500 0.7500 0.5000 Ag
0.7500 0.2500 0.5000 Ag
0.5000 0.5000 0.0000 Os
```

As for the spin magnetization: 2.1 Bohr magnetons per cell. As for the theoretical density: 13.4 g/cm3. The formation enthalpy at 0 K is 745 meV per atom. As for the relative energy among the computed polymorphs: 0.694 eV per formula unit.

---

[6]
# InTe5Pb4

A relaxed InTe5Pb4 crystal (PBEsol, the Alexandria database).

Geometry as POSCAR:
```
InTe5Pb4
1.0
2.2380 1.2921 18.6328
-2.2380 1.2921 18.6328
0.0000 -2.5843 18.6328
In Te Pb
1 5 4
direct
0.0000 0.0000 0.0000 In
0.0991 0.0991 0.0991 Te
0.3021 0.3021 0.3021 Te
0.5000 0.5000 0.5000 Te
0.6979 0.6979 0.6979 Te
0.9009 0.9009 0.9009 Te
0.2005 0.2005 0.2005 Pb
0.3984 0.3984 0.3984 Pb
0.6016 0.6016 0.6016 Pb
0.7995 0.7995 0.7995 Pb
```

The value obtained for the uncorrected formation energy is -328 meV per atom. As for the spin magnetization: 0.0 Bohr magnetons per cell. As for the theoretical density: 8.1 g/cm3. As for the relative energy among the computed polymorphs: 0.073 eV per formula unit.

---

[7]
# TcMoAsPd2

A relaxed TcMoAsPd2 crystal (PBEsol, the Alexandria database).

Geometry as POSCAR:
```
TcMoAsPd2
1.0
4.4777 0.0000 0.0000
0.0000 4.4777 0.0000
0.0000 0.0000 4.6200
Tc Mo As Pd
1 1 1 2
direct
0.0000 0.0000 0.0000 Tc
0.5000 0.5000 0.0000 Mo
0.5000 0.5000 0.5000 As
0.0000 0.5000 0.5000 Pd
0.5000 0.0000 0.5000 Pd
```

As for the spin magnetization: 3.3 Bohr magnetons per cell. As for the theoretical density: 8.6 g/cm3. The formation enthalpy at 0 K is 1067 meV per atom.

---

[8]
# Sc2CoBr

A relaxed Sc2CoBr crystal (PBEsol, the Alexandria database).

Geometry as POSCAR:
```
Sc2CoBr
1.0
3.1413 -3.5193 0.0000
3.1413 3.5193 0.0000
0.0000 0.0000 3.0983
Sc Co Br
2 1 1
direct
0.0000 0.5000 0.0000 Sc
0.5000 0.0000 0.0000 Sc
0.0000 0.0000 0.5000 Co
0.5000 0.5000 0.5000 Br
```

The value obtained for the uncorrected formation energy is -295 meV per atom. As for the spin magnetization: 0.0 Bohr magnetons per cell. As for the theoretical density: 5.5 g/cm3. As for the relative energy among the computed polymorphs: 0.375 eV per formula unit.

---

[9]
# SrBePt

A relaxed SrBePt crystal (PBEsol, the Alexandria database).

Geometry as POSCAR:
```
SrBePt
1.0
3.9371 0.0000 0.0000
-1.9686 3.4097 0.0000
0.0000 0.0000 4.5605
Sr Be Pt
1 1 1
direct
0.0000 0.0000 0.0000 Sr
0.3333 0.6667 0.5000 Be
0.6667 0.3333 0.5000 Pt
```

As for the spin magnetization: 0.0 Bohr magnetons per cell. As for the theoretical density: 7.9 g/cm3. The formation enthalpy at 0 K is -552 meV per atom.

---

[10]
# ZrTe2Cl

A relaxed ZrTe2Cl crystal (PBEsol, the Alexandria database).

Geometry as POSCAR:
```
ZrTe2Cl
1.0
2.8002 -4.4463 0.0000
2.8002 4.4463 0.0000
0.0000 0.0000 3.8088
Zr Te Cl
1 2 1
direct
0.0000 0.0000 0.0000 Zr
0.0000 0.5000 0.5000 Te
0.5000 0.0000 0.5000 Te
0.5000 0.5000 0.0000 Cl
```

The value obtained for the uncorrected formation energy is -413 meV per atom. As for the spin magnetization: 0.0 Bohr magnetons per cell. As for the theoretical density: 6.7 g/cm3. As for the relative energy among the computed polymorphs: 0.488 eV per formula unit.

---

[11]
# TaCdRh3

A relaxed TaCdRh3 crystal (PBEsol, the Alexandria database).

Geometry as POSCAR:
```
TaCdRh3
1.0
4.6534 0.0000 0.0000
0.0000 4.6534 0.0000
0.0000 0.0000 4.6534
Ta Cd Rh
1 1 3
direct
0.0000 0.0000 0.0000 Ta
0.5000 0.5000 0.5000 Cd
0.0000 0.0000 0.5000 Rh
0.0000 0.5000 0.0000 Rh
0.5000 0.0000 0.0000 Rh
```

As for the spin magnetization: 0.0 Bohr magnetons per cell. As for the theoretical density: 9.9 g/cm3. The formation enthalpy at 0 K is 820 meV per atom.

---

[12]
# Tl2NiMo

A relaxed Tl2NiMo crystal (PBEsol, the Alexandria database).

Geometry as POSCAR:
```
Tl2NiMo
1.0
2.9414 0.0000 0.0000
0.0000 4.2786 0.0000
-0.6607 0.0000 5.6867
Tl Ni Mo
2 1 1
direct
0.1454 0.0000 0.2559 Tl
0.8546 0.0000 0.7441 Tl
0.0000 0.5000 0.5000 Ni
0.5000 0.5000 0.0000 Mo
```

As for the spin magnetization: 0.0 Bohr magnetons per cell. As for the theoretical density: 13.1 g/cm3. The formation enthalpy at 0 K is 689 meV per atom. As for the relative energy among the computed polymorphs: 0.404 eV per formula unit.

---

no.,calculated total energy (eV/cell)
1,-83.818
2,-10.903
3,-24.195
4,-38.211
5,-22.017
6,-39.893
7,-34.723
8,-23.996
9,-14.461
10,-19.803
11,-34.065
12,-20.431